The following is a PBE-GGA calculation of CdAgBr2 after structural relaxation, from Alexandria.

Summary:
ρ: 6.37 g/cm3
crystal system: tetragonal
E_form (uncorrected): -0.1320 eV per atom
energy above the lowest structure with this stoichiometry: 81 kJ/mol of formula units
calculated volume: 99 Å³/cell

Lattice parameters (Å, degrees): 3.675 3.675 7.331 90.00 90.00 90.00
Fractional coordinates of all 4 atoms:
Cd1 0.000 0.000 0.000
Ag1 0.000 0.000 0.500
Br1 0.500 0.500 0.257
Br2 0.500 0.500 0.743

=====

The following is a PBE-GGA calculation of CdAg3Br4 after structural relaxation, from Alexandria.

Summary:
ρ: 4.75 g/cm3
crystal system: tetragonal
E_form (uncorrected): -0.3064 eV per atom
calculated volume: 264 Å³/cell

Lattice parameters (Å, degrees): 7.878 7.878 7.878 132.05 132.05 70.15
Fractional coordinates of all 8 atoms:
Cd1 0.000 0.000 0.000
Ag1 0.250 0.750 0.500
Ag2 0.500 0.500 0.000
Ag3 0.750 0.250 0.500
Br1 0.130 0.130 0.520
Br2 0.389 0.870 0.000
Br3 0.611 0.611 0.480
Br4 0.870 0.389 0.000

=====

The following is a PBE-GGA calculation of CdAg2Br4 after structural relaxation, from Alexandria.

Summary:
ρ: 4.59 g/cm3
crystal system: tetragonal
E_form (uncorrected): -0.5130 eV per atom
calculated volume: 234 Å³/cell

Lattice parameters (Å, degrees): 6.937 6.937 4.870 90.00 90.00 90.00
Fractional coordinates of all 7 atoms:
Cd1 0.000 0.000 0.000
Ag1 0.000 0.500 0.000
Ag2 0.500 0.000 0.000
Br1 0.238 0.238 0.264
Br2 0.238 0.762 0.736
Br3 0.762 0.238 0.736
Br4 0.762 0.762 0.264

=====

The following is a PBE-GGA calculation of CdAg3Br6 after structural relaxation, from Alexandria.

Summary:
ρ: 5.43 g/cm3
crystal system: monoclinic
E_form (uncorrected): -0.3976 eV per atom
energy above the lowest structure with this stoichiometry: 37 kJ/mol of formula units
calculated volume: 560 Å³/cell

Lattice parameters (Å, degrees): 7.051 7.064 13.136 90.00 121.10 90.00
Fractional coordinates of all 20 atoms:
Cd1 0.000 0.000 0.000
Cd2 0.000 0.500 0.500
Ag1 0.259 0.048 0.758
Ag2 0.259 0.452 0.258
Ag3 0.500 0.000 0.500
Ag4 0.500 0.500 0.000
Ag5 0.741 0.548 0.742
Ag6 0.741 0.952 0.242
Br1 0.096 0.094 0.228
Br2 0.096 0.406 0.728
Br3 0.273 0.674 0.090
Br4 0.273 0.826 0.590
Br5 0.406 0.180 0.067
Br6 0.406 0.320 0.567
Br7 0.594 0.680 0.433
Br8 0.594 0.820 0.933
Br9 0.727 0.174 0.410
Br10 0.727 0.326 0.910
Br11 0.904 0.594 0.272
Br12 0.904 0.906 0.772